# 1
## YSiAg2 (PBE-GGA)

Data for an optimized crystal structure of YSiAg2.

abc: 3.1085 4.0659 6.3547
angles: 90.00 90.00 90.00
Fractional positions:
Y1 0.0000 0.0000 0.0000
Si1 0.5000 0.5000 0.7547
Ag1 0.0000 0.0000 0.5165
Ag2 0.5000 0.5000 0.3062

Raw formation energy in eV/atom: -0.05

---

# 2
## MgZr4Tc (PBE-GGA)

Data for an optimized crystal structure of MgZr4Tc.

abc: 3.2993 3.2993 11.7845
angles: 90.00 90.00 90.00
Fractional positions:
Mg1 0.0000 0.0000 0.0000
Zr1 0.0000 0.0000 0.3633
Zr2 0.0000 0.0000 0.6367
Zr3 0.5000 0.5000 0.1856
Zr4 0.5000 0.5000 0.8144
Tc1 0.5000 0.5000 0.5000

Formation energy in eV per atom: -0.1337
E above lowest polymorph in meV/atom: 0.0

---

# 3
## Sb2MoW (PBE-GGA)

Data for an optimized crystal structure of Sb2MoW.

abc: 4.7011 4.7011 4.7011
angles: 60.00 60.00 60.00
Fractional positions:
Sb1 0.2500 0.2500 0.2500
Sb2 0.7500 0.7500 0.7500
Mo1 0.0000 0.0000 0.0000
W1 0.5000 0.5000 0.5000

E above lowest polymorph in meV/atom: 280.6
Raw formation energy in eV/atom: 0.45

---

# 4
## SrLi2Nd2Pb2 (PBE-GGA)

Data for an optimized crystal structure of SrLi2Nd2Pb2.

abc: 10.1620 10.1620 10.1620
angles: 28.34 28.34 28.34
Fractional positions:
Sr1 0.0000 0.0000 0.0000
Li1 0.4128 0.4128 0.4128
Li2 0.5872 0.5872 0.5872
Nd1 0.1306 0.1306 0.1306
Nd2 0.8694 0.8694 0.8694
Pb1 0.2560 0.2560 0.2560
Pb2 0.7440 0.7440 0.7440

Formation energy in eV per atom: -0.3806